Entry from Alexandria: a relaxed MgFeNO2 crystal (PBE with a Hubbard U).

Summary:
Density in g/cm3: 3.5
SG: No. 123
DOS at the Fermi energy in states/eV/atom: 0.4150
Final energy in eV/atom: -5.002

Unit cell a=3.8718 b=3.8718 c=4.0179 alpha=90.00 beta=90.00 gamma=90.00
With the nearest neighbours (Å) after each atom.
Element x y z (fractional)
O (0.0000, 0.5000, 0.0000)  2 Mg 1.94
O (0.5000, 0.0000, 0.0000)  2 Mg 1.94
Mg (0.0000, 0.0000, 0.0000)  4 O 1.94, 2 N 2.01
N (0.0000, 0.0000, 0.5000)  2 Mg 2.01
Fe (0.5000, 0.5000, 0.5000)  4 N 2.74, 8 O 2.79